First-principles (PBE) data for a relaxed structure of Tb5SmHg2, as listed in Alexandria via LeMat-Bulk.

Summary:
Raw total energy: -3.73 eV per atom
Calculated formation energy: -0.17 eV/atom

Structure (extended XYZ):
```
8
Lattice="3.742 0.000 0.000 1.871 8.020 -0.496 1.871 1.940 7.798" Properties=species:S:1:pos:R:3 pbc="T T T"
Tb 1.871 4.980 3.651
Tb 3.742 4.963 0.799
Tb 3.742 4.997 6.503
Tb 3.742 7.705 2.809
Tb 3.742 2.256 4.493
Sm 0.000 0.000 0.000
Hg 5.613 7.618 5.585
Hg 1.871 2.343 1.717
```